Version a
PBE UGaGe2, optimized geometry; Fermi-level density of states = 0.994 states/eV per atom; space group = No. 123
1.0
4.288 0.000 0.000
0.000 4.288 0.000
0.000 0.000 4.050
U Ga Ge
1 1 2
Direct
0.000 0.000 0.000
0.500 0.500 0.000
0.000 0.500 0.500
0.500 0.000 0.500

***

Version b
PBE UGaGe2, optimized geometry; Fermi-level density of states = 1.792 states/eV per atom; space group = No. 166
1.0
2.252 1.300 4.546
-2.252 1.300 4.546
0.000 -2.601 4.546
U Ga Ge
1 1 2
Direct
0.000 0.000 0.000
0.500 0.500 0.500
0.229 0.229 0.229
0.771 0.771 0.771

***

Version c
PBE UGaGe2, optimized geometry; Fermi-level density of states = 1.650 states/eV per atom; space group = No. 123
1.0
3.575 0.000 0.000
0.000 3.575 0.000
0.000 0.000 6.147
U Ga Ge
1 1 2
Direct
0.000 0.000 0.000
0.000 0.000 0.500
0.500 0.500 0.284
0.500 0.500 0.716

***

Which one is most stable, and which one is least stable? version a is the most stable of them, while version b is the least stable.